# 1
Tb3NdHo2Bi6 | PBE | optimized geometry

abc: 10.0639 10.0639 9.0047
angles: 102.89 102.89 25.85
Last column: nearest neighbours and their distance in Å.
Sites, in units of the cell vectors:
1 Tb 0.0000 0.0000 0.0000  6 Bi 3.15-3.19
2 Tb 0.3347 0.3347 0.6678  6 Bi 3.16-3.20
3 Tb 0.6653 0.6653 0.3322  6 Bi 3.16-3.20
4 Nd 0.0000 0.0000 0.5000  6 Bi 3.22-3.23
5 Ho 0.3326 0.3326 0.1665  6 Bi 3.16-3.17
6 Ho 0.6674 0.6674 0.8335  6 Bi 3.16-3.17
7 Bi 0.1671 0.1671 0.0817  3 Ho 3.16-3.17, 3 Tb 3.19
8 Bi 0.1691 0.1691 0.5858  3 Tb 3.16-3.20, 2 Ho 3.17, 1 Nd 3.23
9 Bi 0.4987 0.4987 0.2440  3 Tb 3.15-3.18, 1 Ho 3.17, 2 Nd 3.22
10 Bi 0.5013 0.5013 0.7560  3 Tb 3.15-3.18, 1 Ho 3.17, 2 Nd 3.22
11 Bi 0.8309 0.8309 0.4142  3 Tb 3.16-3.20, 2 Ho 3.17, 1 Nd 3.23
12 Bi 0.8329 0.8329 0.9183  3 Ho 3.16-3.17, 3 Tb 3.19

**Space-group type**: C2/m, No. 12
**Density of states at the Fermi level**: 2.01 states/eV/cell
**DFT total energy**: -5.132 eV/atom

***

# 2
TbNd2HoBi4 | PBE | optimized geometry

abc: 7.8643 4.5480 7.8726
angles: 90.00 109.49 90.00
Last column: nearest neighbours and their distance in Å.
Sites, in units of the cell vectors:
1 Tb 0.0000 0.0000 0.0000  6 Bi 3.18
2 Nd 0.5000 0.0000 0.5000  6 Bi 3.25
3 Nd 0.5000 0.5000 0.0000  6 Bi 3.26
4 Ho 0.0000 0.5000 0.5000  6 Bi 3.17
5 Bi 0.2409 0.0000 0.7460  2 Ho 3.17, 1 Tb 3.18, 3 Nd 3.25-3.26
6 Bi 0.2415 0.5000 0.2482  1 Ho 3.17, 2 Tb 3.18, 3 Nd 3.25-3.26
7 Bi 0.7585 0.5000 0.7518  1 Ho 3.17, 2 Tb 3.18, 3 Nd 3.25-3.26
8 Bi 0.7591 0.0000 0.2540  2 Ho 3.17, 1 Tb 3.18, 3 Nd 3.25-3.26

**Space-group type**: P2/m, No. 10
**Density of states at the Fermi level**: 1.23 states/eV/cell
**DFT total energy**: -5.185 eV/atom

***

# 3
NdHoBiTe | PBE | optimized geometry

abc: 8.1414 8.1414 8.1414
angles: 31.23 31.23 31.23
Last column: nearest neighbours and their distance in Å.
Sites, in units of the cell vectors:
1 Nd 0.0000 0.0000 0.0000  3 Bi 3.21, 3 Te 3.29
2 Ho 0.8273 0.8273 0.8273  3 Bi 3.07, 3 Te 3.17
3 Bi 0.4187 0.4187 0.4187  3 Ho 3.07, 3 Nd 3.21
4 Te 0.2426 0.2426 0.2426  3 Ho 3.17, 3 Nd 3.29

**Space-group type**: R3m, No. 160
**Density of states at the Fermi level**: 2.30 states/eV/cell
**DFT total energy**: -5.189 eV/atom
**Raw formation energy**: -1096.5 meV/atom